The following is a DFT calculation (PBE) of a relaxed Zn5Ag3Au crystal.

- Raw total energy: -2.0523 eV/atom
- Crystal system: hexagonal
- DFT formation energy: -0.0300 eV/atom

Lattice parameters (Å, degrees): 5.404 7.934 7.934 120.00 90.00 90.00
Positions (direct):
Zn 0.000 0.333 0.667
Zn 0.500 0.667 0.333
Zn 0.000 0.667 0.333
Zn 0.500 0.333 0.667
Zn 0.750 0.703 0.000
Zn 0.750 0.297 0.297
Zn 0.750 0.000 0.703
Zn 0.250 0.297 0.000
Zn 0.250 0.703 0.703
Zn 0.250 0.000 0.297
Ag 0.750 0.376 0.000
Ag 0.750 0.624 0.624
Ag 0.750 0.000 0.376
Ag 0.250 0.624 0.000
Ag 0.250 0.376 0.376
Ag 0.250 0.000 0.624
Au 0.000 0.000 0.000
Au 0.500 0.000 0.000